(1)
First-principles (PBE) data for crystalline SrSc4Te at its relaxed geometry, as listed in Alexandria via LeMat-Bulk. Values from VASP.

Output
total energy	-29.270	eV/cell
formation energy without anion corrections	147	meV per atom

The structure in Quantum ESPRESSO input format:
```
&SYSTEM
  ibrav = 0, nat = 6, ntyp = 3
/
ATOMIC_SPECIES
Sr 87.62 Sr.upf
Sc 44.96 Sc.upf
Te 127.60 Te.upf
CELL_PARAMETERS angstrom
0.000 4.444 4.444
4.444 0.000 4.444
4.444 4.444 0.000
ATOMIC_POSITIONS crystal
Sr 0.000 0.000 0.000
Sc 0.373 0.373 0.373
Sc 0.373 0.373 0.880
Sc 0.373 0.880 0.373
Sc 0.880 0.373 0.373
Te 0.750 0.750 0.750
```

=====

(2)
First-principles (PBE) data for crystalline Co3TcPd at its relaxed geometry, as listed in Alexandria via LeMat-Bulk. Values from VASP.

Output
total energy	-28.365	eV/cell
energy of formation from the pure elements	1702	meV per atom

The structure in Quantum ESPRESSO input format:
```
&SYSTEM
  ibrav = 0, nat = 5, ntyp = 3
/
ATOMIC_SPECIES
Co 58.93 Co.upf
Tc 98.00 Tc.upf
Pd 106.42 Pd.upf
CELL_PARAMETERS angstrom
4.483 0.000 0.000
0.000 4.483 0.000
0.000 0.000 4.483
ATOMIC_POSITIONS crystal
Co 0.000 0.000 0.500
Co 0.000 0.500 0.000
Co 0.500 0.000 0.000
Tc 0.500 0.500 0.500
Pd 0.000 0.000 0.000
```

=====

(3)
First-principles (PBE) data for crystalline Rb3Ac3YTe8 at its relaxed geometry, as listed in Alexandria via LeMat-Bulk. Values from VASP.

Output
total energy	-67.382	eV/cell
formation energy without anion corrections	-1370	meV per atom

The structure in Quantum ESPRESSO input format:
```
&SYSTEM
  ibrav = 0, nat = 15, ntyp = 4
/
ATOMIC_SPECIES
Rb 85.47 Rb.upf
Ac 227.00 Ac.upf
Y 88.91 Y.upf
Te 127.60 Te.upf
CELL_PARAMETERS angstrom
8.266 -4.765 0.000
8.266 4.765 0.000
-5.517 0.000 8.752
ATOMIC_POSITIONS crystal
Rb 0.000 0.000 0.000
Rb 0.000 0.500 0.000
Rb 0.500 0.000 0.000
Ac 0.000 0.500 0.500
Ac 0.500 0.000 0.500
Ac 0.500 0.500 0.500
Y 0.000 0.000 0.500
Te 0.224 0.224 0.701
Te 0.224 0.753 0.701
Te 0.247 0.776 0.299
Te 0.262 0.262 0.285
Te 0.738 0.738 0.715
Te 0.753 0.224 0.701
Te 0.776 0.247 0.299
Te 0.776 0.776 0.299
```

=====

(4)
First-principles (PBE) data for crystalline Ti5V2Ga4 at its relaxed geometry, as listed in Alexandria via LeMat-Bulk. Values from VASP.

Output
total energy	-68.588	eV/cell
energy of formation from the pure elements	112	meV per atom

The structure in Quantum ESPRESSO input format:
```
&SYSTEM
  ibrav = 0, nat = 11, ntyp = 3
/
ATOMIC_SPECIES
Ti 47.87 Ti.upf
V 50.94 V.upf
Ga 69.72 Ga.upf
CELL_PARAMETERS angstrom
-1.394 4.293 7.873
1.394 -4.293 7.873
1.394 4.293 -7.873
ATOMIC_POSITIONS crystal
Ti 0.000 0.000 0.000
Ti 0.101 0.329 0.771
Ti 0.442 0.671 0.771
Ti 0.558 0.329 0.229
Ti 0.899 0.671 0.229
V 0.241 0.741 0.500
V 0.759 0.259 0.500
Ga 0.270 0.500 0.770
Ga 0.411 0.911 0.500
Ga 0.589 0.089 0.500
Ga 0.730 0.500 0.230
```

=====

(5)
First-principles (PBE) data for crystalline Y2AlGe3Ir4 at its relaxed geometry, as listed in Alexandria via LeMat-Bulk. Values from VASP.

Output
total energy	-74.114	eV/cell
energy of formation from the pure elements	-815	meV per atom

The structure in Quantum ESPRESSO input format:
```
&SYSTEM
  ibrav = 0, nat = 10, ntyp = 4
/
ATOMIC_SPECIES
Y 88.91 Y.upf
Al 26.98 Al.upf
Ge 72.64 Ge.upf
Ir 192.22 Ir.upf
CELL_PARAMETERS angstrom
4.174 0.000 0.000
0.000 4.174 0.000
0.000 0.000 10.377
ATOMIC_POSITIONS crystal
Y 0.000 0.500 0.248
Y 0.500 0.000 0.752
Al 0.000 0.000 0.500
Ge 0.000 0.500 0.868
Ge 0.500 0.000 0.132
Ge 0.500 0.500 0.500
Ir 0.000 0.000 0.000
Ir 0.000 0.500 0.634
Ir 0.500 0.000 0.366
Ir 0.500 0.500 0.000
```

=====

(6)
First-principles (PBE) data for crystalline NdEr2PuSe4 at its relaxed geometry, as listed in Alexandria via LeMat-Bulk. Values from VASP.

Output
total energy	-55.874	eV/cell
formation energy without anion corrections	-1714	meV per atom

The structure in Quantum ESPRESSO input format:
```
&SYSTEM
  ibrav = 0, nat = 8, ntyp = 4
/
ATOMIC_SPECIES
Nd 144.24 Nd.upf
Er 167.26 Er.upf
Pu 244.00 Pu.upf
Se 78.96 Se.upf
CELL_PARAMETERS angstrom
7.114 0.000 0.000
0.000 4.081 0.000
-2.335 0.000 6.776
ATOMIC_POSITIONS crystal
Nd 0.000 0.000 0.000
Er 0.000 0.500 0.500
Er 0.500 0.000 0.500
Pu 0.500 0.500 0.000
Se 0.249 0.000 0.738
Se 0.258 0.500 0.264
Se 0.742 0.500 0.736
Se 0.751 0.000 0.262
```

=====

(7)
First-principles (PBE) data for crystalline Tb2Pr7Sc2 at its relaxed geometry, as listed in Alexandria via LeMat-Bulk. Values from VASP.

Output
total energy	-53.804	eV/cell
energy of formation from the pure elements	143	meV per atom

The structure in Quantum ESPRESSO input format:
```
&SYSTEM
  ibrav = 0, nat = 11, ntyp = 3
/
ATOMIC_SPECIES
Tb 158.93 Tb.upf
Pr 140.91 Pr.upf
Sc 44.96 Sc.upf
CELL_PARAMETERS angstrom
5.531 -5.826 0.000
5.531 5.826 0.000
-2.232 0.000 5.741
ATOMIC_POSITIONS crystal
Tb 0.211 0.211 0.084
Tb 0.789 0.789 0.916
Pr 0.000 0.000 0.500
Pr 0.057 0.580 0.308
Pr 0.420 0.943 0.692
Pr 0.423 0.423 0.705
Pr 0.577 0.577 0.295
Pr 0.580 0.057 0.308
Pr 0.943 0.420 0.692
Sc 0.224 0.776 0.000
Sc 0.776 0.224 0.000
```

=====

(8)
First-principles (PBE) data for crystalline Zr2Nb3Ga4 at its relaxed geometry, as listed in Alexandria via LeMat-Bulk. Values from VASP.

Output
total energy	-127.983	eV/cell
energy of formation from the pure elements	-509	meV per atom

The structure in Quantum ESPRESSO input format:
```
&SYSTEM
  ibrav = 0, nat = 18, ntyp = 3
/
ATOMIC_SPECIES
Zr 91.22 Zr.upf
Nb 92.91 Nb.upf
Ga 69.72 Ga.upf
CELL_PARAMETERS angstrom
7.098 0.000 0.000
0.000 7.086 0.000
-2.359 0.000 6.494
ATOMIC_POSITIONS crystal
Zr 0.189 0.167 0.065
Zr 0.189 0.333 0.565
Zr 0.811 0.667 0.435
Zr 0.811 0.833 0.935
Nb 0.255 0.686 0.244
Nb 0.255 0.814 0.744
Nb 0.500 0.000 0.500
Nb 0.500 0.500 0.000
Nb 0.745 0.186 0.256
Nb 0.745 0.314 0.756
Ga 0.075 0.533 0.854
Ga 0.075 0.967 0.354
Ga 0.481 0.128 0.866
Ga 0.481 0.372 0.366
Ga 0.519 0.628 0.634
Ga 0.519 0.872 0.134
Ga 0.925 0.033 0.646
Ga 0.925 0.467 0.146
```

=====

(9)
First-principles (PBE) data for crystalline NaInC at its relaxed geometry, as listed in Alexandria via LeMat-Bulk. Values from VASP.

Output
total energy	-21.098	eV/cell
energy of formation from the pure elements	911	meV per atom

The structure in Quantum ESPRESSO input format:
```
&SYSTEM
  ibrav = 0, nat = 6, ntyp = 3
/
ATOMIC_SPECIES
Na 22.99 Na.upf
In 114.82 In.upf
C 12.01 C.upf
CELL_PARAMETERS angstrom
4.197 0.000 0.000
0.000 4.197 0.000
0.000 0.000 6.203
ATOMIC_POSITIONS crystal
Na 0.250 0.250 0.094
Na 0.750 0.750 0.906
In 0.250 0.750 0.500
In 0.750 0.250 0.500
C 0.250 0.250 0.688
C 0.750 0.750 0.312
```

=====

(10)
First-principles (PBE) data for crystalline LaHgP3 at its relaxed geometry, as listed in Alexandria via LeMat-Bulk. Values from VASP.

Output
total energy	-17.186	eV/cell
energy of formation from the pure elements	855	meV per atom

The structure in Quantum ESPRESSO input format:
```
&SYSTEM
  ibrav = 0, nat = 5, ntyp = 3
/
ATOMIC_SPECIES
La 138.91 La.upf
Hg 200.59 Hg.upf
P 30.97 P.upf
CELL_PARAMETERS angstrom
5.540 0.000 0.000
0.000 5.540 0.000
0.000 0.000 5.540
ATOMIC_POSITIONS crystal
La 0.000 0.000 0.000
Hg 0.500 0.500 0.500
P 0.000 0.000 0.500
P 0.000 0.500 0.000
P 0.500 0.000 0.000
```

=====

(11)
First-principles (PBE) data for crystalline YTa2Mn at its relaxed geometry, as listed in Alexandria via LeMat-Bulk. Values from VASP.

Output
total energy	-37.639	eV/cell
energy of formation from the pure elements	425	meV per atom

The structure in Quantum ESPRESSO input format:
```
&SYSTEM
  ibrav = 0, nat = 4, ntyp = 3
/
ATOMIC_SPECIES
Y 88.91 Y.upf
Ta 180.95 Ta.upf
Mn 54.94 Mn.upf
CELL_PARAMETERS angstrom
0.000 3.382 3.382
3.382 0.000 3.382
3.382 3.382 0.000
ATOMIC_POSITIONS crystal
Y 0.000 0.000 0.000
Ta 0.250 0.250 0.250
Ta 0.500 0.500 0.500
Mn 0.750 0.750 0.750
```

=====

(12)
First-principles (PBE) data for crystalline TbTaMnC3 at its relaxed geometry, as listed in Alexandria via LeMat-Bulk. Values from VASP.

Output
total energy	-108.261	eV/cell
energy of formation from the pure elements	-134	meV per atom

The structure in Quantum ESPRESSO input format:
```
&SYSTEM
  ibrav = 0, nat = 12, ntyp = 4
/
ATOMIC_SPECIES
Tb 158.93 Tb.upf
Ta 180.95 Ta.upf
Mn 54.94 Mn.upf
C 12.01 C.upf
CELL_PARAMETERS angstrom
6.876 0.000 0.000
0.000 3.313 0.000
-1.470 0.000 7.162
ATOMIC_POSITIONS crystal
Tb 0.175 0.250 0.194
Tb 0.825 0.750 0.806
Ta 0.355 0.750 0.856
Ta 0.645 0.250 0.144
Mn 0.098 0.250 0.602
Mn 0.902 0.750 0.398
C 0.122 0.250 0.854
C 0.174 0.750 0.528
C 0.435 0.750 0.152
C 0.565 0.250 0.848
C 0.826 0.250 0.472
C 0.878 0.750 0.146
```

=====

Number 1: density of states at the Fermi level 11.41 states/eV per cell. Number 2: density of states at the Fermi level 5.34 states/eV per cell. Number 3: density of states at the Fermi level 15.05 states/eV per cell. Number 4: density of states at the Fermi level 12.41 states/eV per cell. Number 5: density of states at the Fermi level 5.97 states/eV per cell. Number 6: density of states at the Fermi level 9.33 states/eV per cell. Number 7: density of states at the Fermi level 15.17 states/eV per cell. Number 8: density of states at the Fermi level 9.73 states/eV per cell. Number 9: density of states at the Fermi level 0.25 states/eV per cell. Number 10: density of states at the Fermi level 5.46 states/eV per cell. Number 11: density of states at the Fermi level 7.03 states/eV per cell. Number 12: density of states at the Fermi level 4.32 states/eV per cell.